# 1
Material: Lu4TlNiC2
Method: DFT, PBE
State: relaxed

The structure in CIF format:
```
data_Lu4TlNiC2
_chemical_formula_sum 'Lu4 Tl1 Ni1 C2'
_cell_length_a 3.5277
_cell_length_b 3.5277
_cell_length_c 14.4467
_cell_angle_alpha 90.00
_cell_angle_beta 90.00
_cell_angle_gamma 120.00
_symmetry_space_group_name_H-M 'P -6 m 2'
_symmetry_Int_Tables_number 187
_symmetry_space_group_name_Hall 'P -6 2'
loop_
_atom_site_label
_atom_site_fract_x
_atom_site_fract_y
_atom_site_fract_z
Lu1 0.0000 0.0000 0.1341
Lu2 0.6667 0.3333 0.3145
Tl1 0.0000 0.0000 0.5000
Ni1 0.6667 0.3333 0.0000
C1 0.3333 0.6667 0.2269
```

***

# 2
Material: Lu4TlNiC2
Method: DFT, PBE
State: relaxed

The structure in CIF format:
```
data_Lu4TlNiC2
_chemical_formula_sum 'Lu4 Tl1 Ni1 C2'
_cell_length_a 3.5263
_cell_length_b 3.5263
_cell_length_c 14.4326
_cell_angle_alpha 90.00
_cell_angle_beta 90.00
_cell_angle_gamma 120.00
_symmetry_space_group_name_H-M 'P -6 m 2'
_symmetry_Int_Tables_number 187
_symmetry_space_group_name_Hall 'P -6 2'
loop_
_atom_site_label
_atom_site_fract_x
_atom_site_fract_y
_atom_site_fract_z
Lu1 0.0000 0.0000 0.1340
Lu2 0.3333 0.6667 0.3145
Tl1 0.0000 0.0000 0.5000
Ni1 0.3333 0.6667 0.0000
C1 0.6667 0.3333 0.2267
```

***

# 3
Material: Lu2Ni3W4C3
Method: DFT, PBE
State: relaxed

The structure in CIF format:
```
data_Lu2Ni3W4C3
_chemical_formula_sum 'Lu8 Ni12 W16 C12'
_cell_length_a 9.254
_cell_length_b 5.338
_cell_length_c 13.564
_cell_angle_alpha 90.00
_cell_angle_beta 103.70
_cell_angle_gamma 90.00
_symmetry_space_group_name_H-M 'C 1 2/c 1'
_symmetry_Int_Tables_number 15
_symmetry_space_group_name_Hall '-C 2yc'
loop_
_atom_site_label
_atom_site_fract_x
_atom_site_fract_y
_atom_site_fract_z
Lu1 0.038 0.082 0.374
Ni1 0.000 0.421 0.750
Ni2 0.246 0.160 0.752
W1 0.111 0.403 0.585
W2 0.227 0.422 0.915
C1 0.084 0.252 0.000
C2 0.250 0.250 0.500
```

***

# 4
Material: Lu4Ni3W2C3
Method: DFT, PBE
State: relaxed

The structure in CIF format:
```
data_Lu4Ni3W2C3
_chemical_formula_sum 'Lu16 Ni12 W8 C12'
_cell_length_a 9.723
_cell_length_b 5.635
_cell_length_c 14.479
_cell_angle_alpha 90.00
_cell_angle_beta 99.33
_cell_angle_gamma 90.00
_symmetry_space_group_name_H-M 'C 1 2/c 1'
_symmetry_Int_Tables_number 15
_symmetry_space_group_name_Hall '-C 2yc'
loop_
_atom_site_label
_atom_site_fract_x
_atom_site_fract_y
_atom_site_fract_z
Lu1 0.110 0.068 0.099
Lu2 0.217 0.089 0.400
Ni1 0.000 0.054 0.250
Ni2 0.236 0.343 0.250
W1 0.076 0.408 0.928
C1 0.075 0.276 0.501
C2 0.250 0.250 0.000
```

***

# 5
Material: Y2Lu4Ni3C3
Method: DFT, PBE
State: relaxed

The structure in CIF format:
```
data_Y2Lu4Ni3C3
_chemical_formula_sum 'Y8 Lu16 Ni12 C12'
_cell_length_a 10.454
_cell_length_b 6.032
_cell_length_c 13.961
_cell_angle_alpha 90.00
_cell_angle_beta 104.85
_cell_angle_gamma 90.00
_symmetry_space_group_name_H-M 'C 1 2/c 1'
_symmetry_Int_Tables_number 15
_symmetry_space_group_name_Hall '-C 2yc'
loop_
_atom_site_label
_atom_site_fract_x
_atom_site_fract_y
_atom_site_fract_z
Y1 0.043 0.081 0.389
Lu1 0.116 0.414 0.594
Lu2 0.219 0.419 0.906
Ni1 0.000 0.420 0.750
Ni2 0.245 0.161 0.750
C1 0.082 0.246 0.000
C2 0.250 0.250 0.500
```

***

# 6
Material: Y4Lu2Ni3C3
Method: DFT, PBE
State: relaxed

The structure in CIF format:
```
data_Y4Lu2Ni3C3
_chemical_formula_sum 'Y16 Lu8 Ni12 C12'
_cell_length_a 10.568
_cell_length_b 6.107
_cell_length_c 14.260
_cell_angle_alpha 90.00
_cell_angle_beta 104.45
_cell_angle_gamma 90.00
_symmetry_space_group_name_H-M 'C 1 2/c 1'
_symmetry_Int_Tables_number 15
_symmetry_space_group_name_Hall '-C 2yc'
loop_
_atom_site_label
_atom_site_fract_x
_atom_site_fract_y
_atom_site_fract_z
Y1 0.116 0.084 0.096
Y2 0.218 0.082 0.404
Lu1 0.048 0.419 0.898
Ni1 0.000 0.080 0.250
Ni2 0.240 0.342 0.250
C1 0.079 0.264 0.500
C2 0.250 0.250 0.000
```

***

# 7
Material: Lu4ZnNiC2
Method: DFT, PBE
State: relaxed

The structure in CIF format:
```
data_Lu4ZnNiC2
_chemical_formula_sum 'Lu4 Zn1 Ni1 C2'
_cell_length_a 3.5218
_cell_length_b 3.5218
_cell_length_c 13.7998
_cell_angle_alpha 90.00
_cell_angle_beta 90.00
_cell_angle_gamma 120.00
_symmetry_space_group_name_H-M 'P -6 m 2'
_symmetry_Int_Tables_number 187
_symmetry_space_group_name_Hall 'P -6 2'
loop_
_atom_site_label
_atom_site_fract_x
_atom_site_fract_y
_atom_site_fract_z
Lu1 0.0000 0.0000 0.1400
Lu2 0.3333 0.6667 0.3298
Zn1 0.0000 0.0000 0.5000
Ni1 0.3333 0.6667 0.0000
C1 0.6667 0.3333 0.2381
```

***

# 8
Material: Lu2Zr4Ni3C3
Method: DFT, PBE
State: relaxed

The structure in CIF format:
```
data_Lu2Zr4Ni3C3
_chemical_formula_sum 'Lu8 Zr16 Ni12 C12'
_cell_length_a 9.971
_cell_length_b 5.756
_cell_length_c 13.828
_cell_angle_alpha 90.00
_cell_angle_beta 104.46
_cell_angle_gamma 90.00
_symmetry_space_group_name_H-M 'C 1 2/c 1'
_symmetry_Int_Tables_number 15
_symmetry_space_group_name_Hall '-C 2yc'
loop_
_atom_site_label
_atom_site_fract_x
_atom_site_fract_y
_atom_site_fract_z
Lu1 0.042 0.082 0.386
Zr1 0.115 0.410 0.592
Zr2 0.221 0.419 0.907
Ni1 0.000 0.421 0.750
Ni2 0.246 0.160 0.750
C1 0.085 0.254 0.000
C2 0.250 0.250 0.500
```

***

Result set for total energy: -5.918 -5.918 -9.016 -7.354 -6.576 -6.785 -5.707 -7.765 eV per atom, one per record in the order listed.